No. 1
First-principles (PBE) data for an optimized crystal structure of BaCdHgPd2, as listed in the Open Quantum Materials Database.

Calculated values
uncorrected energy	-31.13	eV for the cell shown

a = 4.910 Å, b = 4.910 Å, c = 10.607 Å
α = 90.00°, β = 90.00°, γ = 90.00°
Space group I4mm (No. 107)
One atom of each set of equivalent atoms:
Ba1 0.000 0.000 0.000 [2 per cell]
Cd1 0.000 0.000 0.363 [2 per cell]
Hg1 0.000 0.000 0.631 [2 per cell]
Pd1 0.000 0.500 0.252 [4 per cell]



No. 2
First-principles (PBE) data for an optimized crystal structure of BaCdHgS3, as listed in the Open Quantum Materials Database.

Calculated values
ΔE to the lowest computed polymorph	0	meV/atom

a = 4.155 Å, b = 13.848 Å, c = 10.663 Å
α = 90.00°, β = 90.00°, γ = 90.00°
Space group Cmcm (No. 63)
One atom of each set of equivalent atoms:
Ba1 0.000 0.242 0.250 [4 per cell]
Cd1 0.000 0.000 0.000 [4 per cell]
Hg1 0.000 0.477 0.750 [4 per cell]
S1 0.000 0.088 0.750 [4 per cell]
S2 0.000 0.370 0.555 [8 per cell]



No. 3
First-principles (PBE) data for an optimized crystal structure of BaCdHgS3, as listed in the Open Quantum Materials Database.

Calculated values
ΔE to the lowest computed polymorph	23	meV/atom

a = 4.183 Å, b = 13.919 Å, c = 10.607 Å
α = 90.00°, β = 90.00°, γ = 90.00°
Space group Cmcm (No. 63)
One atom of each set of equivalent atoms:
Ba1 0.000 0.245 0.250 [4 per cell]
Cd1 0.000 0.478 0.750 [4 per cell]
Hg1 0.000 0.000 0.000 [4 per cell]
S1 0.000 0.085 0.750 [4 per cell]
S2 0.000 0.368 0.558 [8 per cell]



No. 4
First-principles (PBE) data for an optimized crystal structure of Ba3CdHgSb4, as listed in the Open Quantum Materials Database.

Calculated values
uncorrected energy	-60.41	eV for the cell shown

a = 18.114 Å, b = 4.936 Å, c = 7.771 Å
α = 90.00°, β = 111.92°, γ = 90.00°
Space group Cm (No. 8)
One atom of each set of equivalent atoms:
Ba1 0.000 0.000 0.000 [2 per cell]
Ba2 0.141 0.000 0.599 [2 per cell]
Ba3 0.356 0.500 0.401 [2 per cell]
Cd1 0.331 0.000 0.025 [2 per cell]
Hg1 0.163 0.500 0.970 [2 per cell]
Sb1 0.206 0.000 0.197 [2 per cell]
Sb2 0.292 0.500 0.801 [2 per cell]
Sb3 0.497 0.000 0.313 [2 per cell]
Sb4 0.497 0.000 0.681 [2 per cell]



No. 5
First-principles (PBE) data for an optimized crystal structure of BaCdHgSe3, as listed in the Open Quantum Materials Database.

Calculated values
ΔE to the lowest computed polymorph	0	meV/atom

a = 4.310 Å, b = 14.273 Å, c = 11.199 Å
α = 90.00°, β = 90.00°, γ = 90.00°
Space group Cmcm (No. 63)
One atom of each set of equivalent atoms:
Ba1 0.000 0.238 0.250 [4 per cell]
Cd1 0.000 0.000 0.000 [4 per cell]
Hg1 0.000 0.474 0.750 [4 per cell]
Se1 0.000 0.089 0.750 [4 per cell]
Se2 0.000 0.368 0.554 [8 per cell]



No. 6
First-principles (PBE) data for an optimized crystal structure of BaCdHgSe3, as listed in the Open Quantum Materials Database.

Calculated values
ΔE to the lowest computed polymorph	23	meV/atom

a = 4.340 Å, b = 14.334 Å, c = 11.119 Å
α = 90.00°, β = 90.00°, γ = 90.00°
Space group Cmcm (No. 63)
One atom of each set of equivalent atoms:
Ba1 0.000 0.242 0.250 [4 per cell]
Cd1 0.000 0.476 0.750 [4 per cell]
Hg1 0.000 0.000 0.000 [4 per cell]
Se1 0.000 0.086 0.750 [4 per cell]
Se2 0.000 0.366 0.556 [8 per cell]



No. 7
First-principles (PBE) data for an optimized crystal structure of BaHoCdP2, as listed in the Open Quantum Materials Database.

Calculated values
uncorrected energy	-90.80	eV for the cell shown

a = 4.194 Å, b = 17.881 Å, c = 6.900 Å
α = 90.00°, β = 90.00°, γ = 90.00°
Space group Cmc2_1 (No. 36)
One atom of each set of equivalent atoms:
Ba1 0.000 0.197 0.000 [4 per cell]
Ho1 0.000 0.028 0.307 [4 per cell]
Cd1 0.000 0.395 0.140 [4 per cell]
P1 0.000 0.166 0.485 [4 per cell]
P2 0.000 0.455 0.517 [4 per cell]



No. 8
First-principles (PBE) data for an optimized crystal structure of BaHoCdSe3, as listed in the Open Quantum Materials Database.

Calculated values
uncorrected energy	-104.10	eV for the cell shown

a = 4.299 Å, b = 14.787 Å, c = 10.719 Å
α = 90.00°, β = 90.00°, γ = 90.00°
Space group Cmcm (No. 63)
One atom of each set of equivalent atoms:
Ba1 0.000 0.236 0.250 [4 per cell]
Ho1 0.000 0.000 0.000 [4 per cell]
Cd1 0.000 0.477 0.750 [4 per cell]
Se1 0.000 0.090 0.750 [4 per cell]
Se2 0.000 0.369 0.549 [8 per cell]



No. 9
First-principles (PBE) data for an optimized crystal structure of Ba2Cd3In, as listed in the Open Quantum Materials Database.

Calculated values
uncorrected energy	-23.10	eV for the cell shown

a = 12.110 Å, b = 5.268 Å, c = 8.523 Å
α = 90.00°, β = 134.60°, γ = 90.00°
Space group Cm (No. 8)
One atom of each set of equivalent atoms:
Ba1 0.000 0.000 0.000 [2 per cell]
Ba2 0.103 0.000 0.607 [2 per cell]
Cd1 0.216 0.500 0.038 [2 per cell]
Cd2 0.388 0.000 0.581 [2 per cell]
Cd3 0.389 0.000 0.202 [2 per cell]
In1 0.215 0.500 0.403 [2 per cell]



No. 10
First-principles (PBE) data for an optimized crystal structure of Ba2Cd3In5, as listed in the Open Quantum Materials Database.

Calculated values
uncorrected energy	-23.64	eV for the cell shown

a = 4.928 Å, b = 4.928 Å, c = 12.378 Å
α = 90.00°, β = 90.00°, γ = 90.00°
Space group P-4m2 (No. 115)
One atom of each set of equivalent atoms:
Ba1 0.000 0.500 0.250 [2 per cell]
Cd1 0.000 0.000 0.000 [1 per cell]
Cd2 0.000 0.500 0.870 [2 per cell]
In1 0.000 0.000 0.500 [1 per cell]
In2 0.000 0.500 0.641 [2 per cell]
In3 0.500 0.500 0.000 [1 per cell]
In4 0.500 0.500 0.500 [1 per cell]



No. 11
First-principles (PBE) data for an optimized crystal structure of BaCdIn, as listed in the Open Quantum Materials Database.

Calculated values
uncorrected energy	-27.13	eV for the cell shown

a = 5.238 Å, b = 8.687 Å, c = 8.600 Å
α = 90.00°, β = 90.00°, γ = 90.00°
Space group Ima2 (No. 46)
One atom of each set of equivalent atoms:
Ba1 0.250 0.199 0.000 [4 per cell]
Cd1 0.250 0.587 0.817 [4 per cell]
In1 0.250 0.589 0.184 [4 per cell]



No. 12
First-principles (PBE) data for an optimized crystal structure of Ba2CdIn, as listed in the Open Quantum Materials Database.

Calculated values
uncorrected energy	-32.64	eV for the cell shown

a = 8.239 Å, b = 8.239 Å, c = 8.239 Å
α = 90.00°, β = 90.00°, γ = 90.00°
Space group F-43m (No. 216)
One atom of each set of equivalent atoms:
Ba1 0.000 0.000 0.000 [4 per cell]
Ba2 0.250 0.250 0.250 [4 per cell]
Cd1 0.250 0.250 0.750 [4 per cell]
In1 0.000 0.000 0.500 [4 per cell]



No. 13
First-principles (PBE) data for an optimized crystal structure of BaCdIn, as listed in the Open Quantum Materials Database.

Calculated values
uncorrected energy	-20.88	eV for the cell shown

a = 7.887 Å, b = 7.887 Å, c = 7.887 Å
α = 90.00°, β = 90.00°, γ = 90.00°
Space group F-43m (No. 216)
One atom of each set of equivalent atoms:
Ba1 0.000 0.000 0.000 [4 per cell]
Cd1 0.250 0.250 0.750 [4 per cell]
In1 0.250 0.250 0.250 [4 per cell]



No. 14
First-principles (PBE) data for an optimized crystal structure of Ba4CdIn, as listed in the Open Quantum Materials Database.

Calculated values
uncorrected energy	-12.98	eV for the cell shown

a = 4.307 Å, b = 4.307 Å, c = 15.188 Å
α = 90.00°, β = 90.00°, γ = 90.00°
Space group P4/mmm (No. 123)
One atom of each set of equivalent atoms:
Ba1 0.000 0.000 0.132 [2 per cell]
Ba2 0.500 0.500 0.368 [2 per cell]
Cd1 0.000 0.000 0.500 [1 per cell]
In1 0.500 0.500 0.000 [1 per cell]



No. 15
First-principles (PBE) data for an optimized crystal structure of BaCdIn, as listed in the Open Quantum Materials Database.

Calculated values
uncorrected energy	-27.21	eV for the cell shown

a = 12.083 Å, b = 5.270 Å, c = 8.583 Å
α = 90.00°, β = 134.11°, γ = 90.00°
Space group C2/m (No. 12)
One atom of each set of equivalent atoms:
Ba1 0.047 0.000 0.302 [4 per cell]
Cd1 0.164 0.500 0.727 [4 per cell]
In1 0.162 0.500 0.100 [4 per cell]



No. 16
First-principles (PBE) data for an optimized crystal structure of Ba2Cd7In, as listed in the Open Quantum Materials Database.

Calculated values
uncorrected energy	-15.78	eV for the cell shown

a = 4.793 Å, b = 4.793 Å, c = 12.598 Å
α = 90.00°, β = 90.00°, γ = 90.00°
Space group P-4m2 (No. 115)
One atom of each set of equivalent atoms:
Ba1 0.000 0.500 0.249 [2 per cell]
Cd1 0.000 0.000 0.000 [1 per cell]
Cd2 0.000 0.000 0.500 [1 per cell]
Cd3 0.000 0.500 0.636 [2 per cell]
Cd4 0.000 0.500 0.863 [2 per cell]
Cd5 0.500 0.500 0.500 [1 per cell]
In1 0.500 0.500 0.000 [1 per cell]



No. 17
First-principles (PBE) data for an optimized crystal structure of Ba2CdIn7, as listed in the Open Quantum Materials Database.

Calculated values
uncorrected energy	-27.44	eV for the cell shown

a = 4.995 Å, b = 4.995 Å, c = 12.326 Å
α = 90.00°, β = 90.00°, γ = 90.00°
Space group P-4m2 (No. 115)
One atom of each set of equivalent atoms:
Ba1 0.000 0.500 0.247 [2 per cell]
Cd1 0.500 0.500 0.000 [1 per cell]
In1 0.000 0.000 0.000 [1 per cell]
In2 0.000 0.000 0.500 [1 per cell]
In3 0.000 0.500 0.637 [2 per cell]
In4 0.000 0.500 0.869 [2 per cell]
In5 0.500 0.500 0.500 [1 per cell]



No. 18
First-principles (PBE) data for an optimized crystal structure of BaCdIn2, as listed in the Open Quantum Materials Database.

Calculated values
uncorrected energy	-37.48	eV for the cell shown

a = 7.860 Å, b = 7.860 Å, c = 7.860 Å
α = 90.00°, β = 90.00°, γ = 90.00°
Space group F-43m (No. 216)
One atom of each set of equivalent atoms:
Ba1 0.000 0.000 0.000 [4 per cell]
Cd1 0.250 0.250 0.250 [4 per cell]
In1 0.000 0.000 0.500 [4 per cell]
In2 0.250 0.250 0.750 [4 per cell]



No. 19
First-principles (PBE) data for an optimized crystal structure of BaCdIn, as listed in the Open Quantum Materials Database.

Calculated values
uncorrected energy	-27.33	eV for the cell shown

a = 5.249 Å, b = 8.501 Å, c = 8.794 Å
α = 90.00°, β = 90.00°, γ = 90.00°
Space group Imm2 (No. 44)
One atom of each set of equivalent atoms:
Ba1 0.000 0.000 0.000 [2 per cell]
Ba2 0.000 0.500 0.084 [2 per cell]
Cd1 0.000 0.203 0.379 [4 per cell]
In1 0.000 0.313 0.709 [4 per cell]



No. 20
First-principles (PBE) data for an optimized crystal structure of BaMg2CdIn, as listed in the Open Quantum Materials Database.

Calculated values
uncorrected energy	-19.91	eV for the cell shown

a = 4.813 Å, b = 4.813 Å, c = 12.774 Å
α = 90.00°, β = 90.00°, γ = 90.00°
Space group I4mm (No. 107)
One atom of each set of equivalent atoms:
Ba1 0.000 0.000 0.000 [2 per cell]
Mg1 0.000 0.500 0.251 [4 per cell]
Cd1 0.000 0.000 0.615 [2 per cell]
In1 0.000 0.000 0.386 [2 per cell]



No. 21
First-principles (PBE) data for an optimized crystal structure of BaMgCd2In, as listed in the Open Quantum Materials Database.

Calculated values
uncorrected energy	-18.54	eV for the cell shown

a = 4.829 Å, b = 4.829 Å, c = 12.521 Å
α = 90.00°, β = 90.00°, γ = 90.00°
Space group I4mm (No. 107)
One atom of each set of equivalent atoms:
Ba1 0.000 0.000 0.000 [2 per cell]
Mg1 0.000 0.000 0.380 [2 per cell]
Cd1 0.000 0.500 0.250 [4 per cell]
In1 0.000 0.000 0.614 [2 per cell]



No. 22
First-principles (PBE) data for an optimized crystal structure of BaCd2InPb, as listed in the Open Quantum Materials Database.

Calculated values
ΔE to the lowest computed polymorph	10	meV/atom

a = 4.937 Å, b = 4.937 Å, c = 12.635 Å
α = 90.00°, β = 90.00°, γ = 90.00°
Space group P4/nmm (No. 129, origin choice 2)
One atom of each set of equivalent atoms:
Ba1 0.250 0.250 0.246 [2 per cell]
Cd1 0.250 0.250 0.630 [2 per cell]
Cd2 0.250 0.750 0.000 [2 per cell]
In1 0.250 0.750 0.500 [2 per cell]
Pb1 0.250 0.250 0.861 [2 per cell]



No. 23
First-principles (PBE) data for an optimized crystal structure of BaCd2InPb, as listed in the Open Quantum Materials Database.

Calculated values
ΔE to the lowest computed polymorph	0	meV/atom

a = 5.015 Å, b = 5.015 Å, c = 12.356 Å
α = 90.00°, β = 90.00°, γ = 90.00°
Space group P4/nmm (No. 129, origin choice 2)
One atom of each set of equivalent atoms:
Ba1 0.250 0.250 0.242 [2 per cell]
Cd1 0.250 0.250 0.645 [2 per cell]
Cd2 0.250 0.750 0.000 [2 per cell]
In1 0.250 0.250 0.874 [2 per cell]
Pb1 0.250 0.750 0.500 [2 per cell]



No. 24
First-principles (PBE) data for an optimized crystal structure of BaCdIn2Pd, as listed in the Open Quantum Materials Database.

Calculated values
ΔE to the lowest computed polymorph	0	meV/atom

a = 4.826 Å, b = 4.826 Å, c = 11.773 Å
α = 90.00°, β = 90.00°, γ = 90.00°
Space group P4/nmm (No. 129, origin choice 2)
One atom of each set of equivalent atoms:
Ba1 0.250 0.250 0.241 [2 per cell]
Cd1 0.250 0.750 0.500 [2 per cell]
In1 0.250 0.250 0.651 [2 per cell]
In2 0.250 0.750 0.000 [2 per cell]
Pd1 0.250 0.250 0.883 [2 per cell]



| no. | theoretical density (g/cm3) |
| --- | --- |
| 1 | 8.61 |
| 2 | 5.92 |
| 3 | 5.88 |
| 4 | 6.24 |
| 5 | 6.62 |
| 6 | 6.60 |
| 7 | 6.12 |
| 8 | 6.35 |
| 9 | 6.23 |
| 10 | 6.55 |
| 11 | 6.19 |
| 12 | 5.96 |
| 13 | 4.94 |
| 14 | 4.58 |
| 15 | 6.17 |
| 16 | 6.75 |
| 17 | 6.43 |
| 18 | 6.56 |
| 19 | 6.17 |
| 20 | 4.64 |
| 21 | 5.70 |
| 22 | 7.38 |
| 23 | 7.31 |
| 24 | 7.10 |